Entry 1:
# LaMnRhC2

Crystalline LaMnRhC2 at its relaxed geometry (PBE, Alexandria via LeMat-Bulk).

DFT formation energy ... 275.80 kJ/mol of atoms
Crystal system ... tetragonal

a = 4.4490 Å, b = 4.4490 Å, c = 4.9766 Å
α = 90.00°, β = 90.00°, γ = 90.00°
With the nearest neighbours (Å) after each atom.
Space group P4/mmm (No. 123)
One atom of each set of equivalent atoms:
La 0.0000 0.0000 0.0000  4 C 2.22, 2 Rh 2.49
Mn 0.5000 0.5000 0.5000  4 Rh 3.15, 8 C 3.34
Rh 0.0000 0.0000 0.5000  2 La 2.49
C 0.0000 0.5000 0.0000  2 La 2.22

***

Entry 2:
# La2MnRhC

Crystalline La2MnRhC at its relaxed geometry (PBE, Alexandria via LeMat-Bulk).

DFT formation energy ... -20.02 kJ/mol of atoms
Crystal system ... tetragonal

a = 5.2752 Å, b = 5.2752 Å, c = 3.7771 Å
α = 90.00°, β = 90.00°, γ = 90.00°
With the nearest neighbours (Å) after each atom.
Space group P4/mmm (No. 123)
One atom of each set of equivalent atoms:
La 0.0000 0.5000 0.0000  2 C 2.64
Mn 0.0000 0.0000 0.5000  2 C 1.89
Rh 0.5000 0.5000 0.5000  8 La 3.24
C 0.0000 0.0000 0.0000  2 Mn 1.89

***

Entry 3:
# LaMnRu2C

Crystalline LaMnRu2C at its relaxed geometry (PBE, Alexandria via LeMat-Bulk).

DFT formation energy ... 3.16 kJ/mol of atoms
Crystal system ... tetragonal

a = 4.3006 Å, b = 4.3006 Å, c = 4.0906 Å
α = 90.00°, β = 90.00°, γ = 90.00°
With the nearest neighbours (Å) after each atom.
Space group P4/mmm (No. 123)
One atom of each set of equivalent atoms:
La 0.0000 0.0000 0.0000  8 Ru 2.97, 4 Mn 3.04
Mn 0.5000 0.5000 0.0000  2 C 2.05
Ru 0.0000 0.5000 0.5000  2 C 2.15
C 0.5000 0.5000 0.5000  2 Mn 2.05, 4 Ru 2.15

***

Entry 4:
# La2MnRuC

Crystalline La2MnRuC at its relaxed geometry (PBE, Alexandria via LeMat-Bulk).

DFT formation energy ... 1.83 kJ/mol of atoms
Crystal system ... tetragonal
ΔE to the lowest computed polymorph ... 0.0000 eV per atom

a = 5.3291 Å, b = 5.3291 Å, c = 3.9162 Å
α = 90.00°, β = 90.00°, γ = 90.00°
With the nearest neighbours (Å) after each atom.
Space group P4/mmm (No. 123)
One atom of each set of equivalent atoms:
La 0.0000 0.5000 0.0000  2 C 2.66
Mn 0.0000 0.0000 0.5000  8 La 3.31
Ru 0.5000 0.5000 0.5000  2 C 1.96
C 0.5000 0.5000 0.0000  2 Ru 1.96

***

Entry 5:
# La2MnRuC

Crystalline La2MnRuC at its relaxed geometry (PBE, Alexandria via LeMat-Bulk).

DFT formation energy ... 6.29 kJ/mol of atoms
Crystal system ... tetragonal
ΔE to the lowest computed polymorph ... 0.0462 eV per atom

a = 5.2751 Å, b = 5.2751 Å, c = 3.7488 Å
α = 90.00°, β = 90.00°, γ = 90.00°
With the nearest neighbours (Å) after each atom.
Space group P4/mmm (No. 123)
One atom of each set of equivalent atoms:
La 0.0000 0.5000 0.0000  2 C 2.64
Mn 0.0000 0.0000 0.5000  2 C 1.87
Ru 0.5000 0.5000 0.5000  8 La 3.24
C 0.0000 0.0000 0.0000  2 Mn 1.87

***

Entry 6:
# LaSmMnC

Crystalline LaSmMnC at its relaxed geometry (PBE, Alexandria via LeMat-Bulk).

DFT formation energy ... 37.13 kJ/mol of atoms
Crystal system ... tetragonal

a = 3.8483 Å, b = 3.8483 Å, c = 11.1068 Å
α = 90.00°, β = 90.00°, γ = 90.00°
With the nearest neighbours (Å) after each atom.
Space group P4/nmm (No. 129, origin choice 2)
One atom of each set of equivalent atoms:
La 0.2500 0.7500 0.0000  4 La 2.72
Sm 0.2500 0.2500 0.3042  5 C 2.83-3.12, 4 Mn 2.90
Mn 0.2500 0.7500 0.5000  4 C 2.03
C 0.2500 0.2500 0.5590  4 Mn 2.03

***

Entry 7:
# La21Mn8Sn7C12

Crystalline La21Mn8Sn7C12 at its relaxed geometry (PBE, Alexandria via LeMat-Bulk).

DFT formation energy ... -44.79 kJ/mol of atoms
Crystal system ... cubic

a = 16.5464 Å, b = 16.5464 Å, c = 16.5464 Å
α = 90.00°, β = 90.00°, γ = 90.00°
With the nearest neighbours (Å) after each atom.
Space group Fm-3m (No. 225)
One atom of each set of equivalent atoms:
La 0.0000 0.0000 0.0000  6 Sn 3.47, 8 La 3.85
La 0.0000 0.1691 0.3309  2 C 2.60
La 0.1342 0.1342 0.1342  3 C 2.74
Mn 0.1974 0.1974 0.3026  3 C 1.92
Sn 0.0000 0.0000 0.2096  9 La 3.38-3.47
Sn 0.0000 0.0000 0.5000  12 La 3.96
C 0.1081 0.2500 0.2500  2 Mn 1.92

***

Entry 8:
# LaTaMnC3

Crystalline LaTaMnC3 at its relaxed geometry (PBE, Alexandria via LeMat-Bulk).

DFT formation energy ... -7.56 kJ/mol of atoms
Crystal system ... monoclinic

a = 7.2314 Å, b = 3.3503 Å, c = 7.5296 Å
α = 90.00°, β = 106.03°, γ = 90.00°
With the nearest neighbours (Å) after each atom.
Space group P2_1/m (No. 11)
One atom of each set of equivalent atoms:
La 0.1952 0.2500 0.2097  5 C 2.59-2.80
Ta 0.3513 0.7500 0.8579  5 C 2.12-2.33
Mn 0.0928 0.2500 0.6073  4 C 1.81-1.91
C 0.1266 0.2500 0.8540  1 Mn 1.81
C 0.1684 0.7500 0.5395  3 Mn 1.88-1.91
C 0.4509 0.7500 0.1505  3 Ta 2.12-2.21

***

Entry 9:
# La20Mn8Te7C12

Crystalline La20Mn8Te7C12 at its relaxed geometry (PBE, Alexandria via LeMat-Bulk).

Formation energy without anion corrections ... -33.2 eV per formula unit
Crystal system ... cubic

a = 16.4115 Å, b = 16.4115 Å, c = 16.4115 Å
α = 90.00°, β = 90.00°, γ = 90.00°
With the nearest neighbours (Å) after each atom.
Space group Fm-3m (No. 225)
One atom of each set of equivalent atoms:
La 0.0000 0.1713 0.1713  2 C 2.52
La 0.1357 0.1357 0.3643  3 C 2.70
Mn 0.1967 0.1967 0.1967  3 C 1.93
Te 0.0000 0.0000 0.0000  12 La 3.97
Te 0.0000 0.0000 0.2859  8 La 3.38-3.40
C 0.1061 0.2500 0.2500  2 Mn 1.93

***

Entry 10:
# La2MnTeC

Crystalline La2MnTeC at its relaxed geometry (PBE, Alexandria via LeMat-Bulk).

Formation energy without anion corrections ... -2.8 eV per formula unit
Crystal system ... tetragonal

a = 5.4660 Å, b = 5.4660 Å, c = 3.8829 Å
α = 90.00°, β = 90.00°, γ = 90.00°
With the nearest neighbours (Å) after each atom.
Space group P4/mmm (No. 123)
One atom of each set of equivalent atoms:
La 0.0000 0.5000 0.0000  2 C 2.73
Mn 0.0000 0.0000 0.5000  2 C 1.94
Te 0.5000 0.5000 0.5000  8 La 3.35
C 0.0000 0.0000 0.0000  2 Mn 1.94

***

Entry 11:
# LaTiMnC2

Crystalline LaTiMnC2 at its relaxed geometry (PBE, Alexandria via LeMat-Bulk).

DFT formation energy ... 284.10 kJ/mol of atoms
Crystal system ... tetragonal

a = 4.2722 Å, b = 4.2722 Å, c = 5.2969 Å
α = 90.00°, β = 90.00°, γ = 90.00°
With the nearest neighbours (Å) after each atom.
Space group P4/mmm (No. 123)
One atom of each set of equivalent atoms:
La 0.0000 0.0000 0.0000  4 C 2.14
Ti 0.0000 0.0000 0.5000  2 La 2.65
Mn 0.5000 0.5000 0.5000  4 Ti 3.02
C 0.0000 0.5000 0.0000  2 La 2.14

***

Entry 12:
# La2MnTlC

Crystalline La2MnTlC at its relaxed geometry (PBE, Alexandria via LeMat-Bulk).

DFT formation energy ... -16.15 kJ/mol of atoms
Crystal system ... tetragonal

a = 5.5004 Å, b = 5.5004 Å, c = 3.8800 Å
α = 90.00°, β = 90.00°, γ = 90.00°
With the nearest neighbours (Å) after each atom.
Space group P4/mmm (No. 123)
One atom of each set of equivalent atoms:
La 0.0000 0.5000 0.0000  2 C 2.75
Mn 0.0000 0.0000 0.5000  2 C 1.94
Tl 0.5000 0.5000 0.5000  8 La 3.37
C 0.0000 0.0000 0.0000  2 Mn 1.94